# 1
{"formula": "CuIrRh2", "functional": "meta-GGA SCAN", "state": "single point on PBEsol structure", "lattice": [[-2.6308, -0.4064, -0.2983], [0.8568, -3.8263, -2.3435], [1.1058, -1.4227, 4.2122]], "species": ["Ir", "Cu", "Rh", "Rh"], "fractional_positions": [[0.0000, 0.5000, 0.0000], [0.5000, 0.0000, 0.0000], [0.2519, 0.2492, 0.5038], [0.7481, 0.7507, 0.4962]], "relative_energy_kj_per_mol_atoms": 3.08, "delta_e_f_kj_per_mol_fu": 13}

---

# 2
{"formula": "CuIr2Rh", "functional": "meta-GGA SCAN", "state": "single point on PBEsol structure", "lattice": [[-0.0455, 2.4673, 1.0708], [-4.3536, -1.1516, -0.9103], [0.4041, -1.8153, 4.2001]], "species": ["Ir", "Ir", "Cu", "Rh"], "fractional_positions": [[0.7491, 0.4981, 0.2422], [0.0024, 0.0047, 0.0049], [0.2505, 0.5011, 0.7453], [0.4981, 0.9961, 0.5076]], "relative_energy_kj_per_mol_atoms": 1.28, "delta_e_f_kj_per_mol_fu": 11}

---

# 3
{"formula": "CuIr2Rh", "functional": "meta-GGA SCAN", "state": "single point on PBEsol structure", "lattice": [[3.7558, 0.0000, 0.0000], [0.0000, 3.7558, 0.0000], [-1.8779, -1.8779, 3.7742]], "species": ["Rh", "Cu", "Ir", "Ir"], "fractional_positions": [[0.5000, 0.5000, 0.0000], [0.2500, 0.7500, 0.5000], [0.7500, 0.2500, 0.5000], [0.0000, 0.0000, 0.0000]], "relative_energy_kj_per_mol_atoms": 2.01, "delta_e_f_kj_per_mol_fu": 14}

---

# 4
{"formula": "Cu2IrRh", "functional": "meta-GGA SCAN", "state": "single point on PBEsol structure", "lattice": [[2.6866, 0.0000, 0.0000], [0.0000, 2.6866, 0.0000], [0.0000, 0.0000, 7.0143]], "species": ["Rh", "Cu", "Cu", "Ir"], "fractional_positions": [[0.5000, 0.5000, 0.7546], [0.0000, 0.0000, 0.0107], [0.5000, 0.5000, 0.2380], [0.0000, 0.0000, 0.4968]], "relative_energy_kj_per_mol_atoms": 0.00, "delta_e_f_kj_per_mol_fu": 15}

---

# 5
{"formula": "Cu2IrRh", "functional": "meta-GGA SCAN", "state": "single point on PBEsol structure", "lattice": [[-0.5100, -2.5944, -0.0890], [1.4460, -1.5799, -1.5530], [5.7259, -2.6733, 5.7977]], "species": ["Cu", "Cu", "Ir", "Rh"], "fractional_positions": [[0.2506, 0.2506, 0.2482], [0.7494, 0.7494, 0.7518], [0.5000, 0.5000, 0.5000], [0.0000, 0.0000, 0.0000]], "relative_energy_kj_per_mol_atoms": 3.60, "delta_e_f_kj_per_mol_fu": 30}

---

# 6
{"formula": "CuIr2Rh", "functional": "meta-GGA SCAN", "state": "single point on PBEsol structure", "lattice": [[-0.9578, -1.6590, 1.9074], [-1.6350, -1.1490, -1.8205], [5.1983, -4.8497, -1.6077]], "species": ["Cu", "Rh", "Ir", "Ir"], "fractional_positions": [[0.5000, 0.5000, 0.7493], [0.0000, 0.0000, 0.5046], [0.0000, 0.0000, 0.9959], [0.5000, 0.5000, 0.2502]], "relative_energy_kj_per_mol_atoms": 1.45, "delta_e_f_kj_per_mol_fu": 12}

---

# 7
{"formula": "CuIr2Rh", "functional": "meta-GGA SCAN", "state": "single point on PBEsol structure", "lattice": [[-0.8200, 0.9930, 2.3209], [-1.2000, -2.1322, -1.0289], [5.7812, -5.3423, 4.3282]], "species": ["Ir", "Ir", "Rh", "Cu"], "fractional_positions": [[0.0000, 0.0000, 0.7559], [0.0000, 0.0000, 0.2441], [0.5000, 0.5000, 0.5000], [0.5000, 0.5000, 0.0000]], "relative_energy_kj_per_mol_atoms": 20.55, "delta_e_f_kj_per_mol_fu": 88}

---

# 8
{"formula": "CuIrRh", "functional": "meta-GGA SCAN", "state": "single point on PBEsol structure", "lattice": [[2.6339, 0.0000, 0.0000], [0.0000, 4.1745, 0.0000], [0.0000, -2.0872, 3.6152]], "species": ["Cu", "Rh", "Ir"], "fractional_positions": [[0.0217, 0.0000, 0.0000], [0.2503, 0.3333, 0.6667], [0.7280, 0.6667, 0.3333]], "relative_energy_kj_per_mol_atoms": 20.06, "delta_e_f_kj_per_mol_fu": 71}

---

# 9
{"formula": "CuIr2Rh", "functional": "meta-GGA SCAN", "state": "single point on PBEsol structure", "lattice": [[-0.5369, 1.2181, 4.0277], [-3.8676, -0.0748, 1.7409], [-0.9299, -2.8734, 2.9789]], "species": ["Ir", "Ir", "Cu", "Rh"], "fractional_positions": [[0.7500, 0.7500, 0.7500], [0.2500, 0.2500, 0.2500], [0.0000, 0.0000, 0.0000], [0.5000, 0.5000, 0.5000]], "relative_energy_kj_per_mol_atoms": 32.87, "delta_e_f_kj_per_mol_fu": 137}

---

# 10
{"formula": "CuIrRh2", "functional": "meta-GGA SCAN", "state": "single point on PBEsol structure", "lattice": [[-3.2198, 1.8180, -0.5452], [-1.8418, -2.7333, 1.7625], [2.9928, 2.2581, 2.6663]], "species": ["Ir", "Rh", "Rh", "Cu"], "fractional_positions": [[0.0000, 0.0000, 0.0000], [0.2500, 0.7500, 0.5000], [0.7500, 0.2500, 0.5000], [0.5000, 0.5000, 0.0000]], "relative_energy_kj_per_mol_atoms": 1.98, "delta_e_f_kj_per_mol_fu": 9}

---

# 11
{"formula": "CuIrRh2", "functional": "meta-GGA SCAN", "state": "single point on PBEsol structure", "lattice": [[-2.0647, 0.5679, -1.6361], [-0.5871, -2.6246, -0.1702], [-4.3886, 0.6088, 5.7494]], "species": ["Rh", "Rh", "Cu", "Ir"], "fractional_positions": [[0.0000, 0.0000, 0.2460], [0.0000, 0.0000, 0.7540], [0.5000, 0.5000, 0.0000], [0.5000, 0.5000, 0.5000]], "relative_energy_kj_per_mol_atoms": 0.00, "delta_e_f_kj_per_mol_fu": 1}

---

# 12
{"formula": "CuIrRh2", "functional": "meta-GGA SCAN", "state": "single point on PBEsol structure", "lattice": [[-0.5325, -1.9287, 1.7739], [1.4603, -0.2066, 2.2304], [-5.1258, 4.5096, 5.3648]], "species": ["Rh", "Rh", "Cu", "Ir"], "fractional_positions": [[0.7510, 0.7510, 0.7458], [0.0002, 0.0002, 0.9994], [0.4998, 0.4998, 0.5012], [0.2493, 0.2493, 0.2537]], "relative_energy_kj_per_mol_atoms": 2.34, "delta_e_f_kj_per_mol_fu": 10}